(1)
{
  "formula": "PbAuSe2",
  "functional": "GGA-PBE",
  "state": "optimized geometry",
  "cell": [[4.054, 0.000, 0.000], [0.000, 3.742, 0.000], [-0.174, 0.000, 7.088]],
  "species": ["Pb", "Au", "Se", "Se"],
  "fractional_positions": [[0.000, 0.000, 0.000], [0.500, 0.000, 0.500], [0.494, 0.500, 0.751], [0.506, 0.500, 0.249]],
  "spacegroup": "P2/m (10)",
  "final_energy_ev_per_atom": -3.655,
  "total_magnetization_mub_per_cell": 0.00
}



(2)
{
  "formula": "RbYFe2Br8",
  "functional": "GGA-PBE",
  "state": "optimized geometry",
  "cell": [[5.652, -3.898, 0.000], [5.652, 3.898, 0.000], [-0.979, 0.000, 10.121]],
  "species": ["Rb", "Y", "Fe", "Fe", "Br", "Br", "Br", "Br", "Br", "Br", "Br", "Br"],
  "fractional_positions": [[0.000, 0.000, 0.000], [0.000, 0.000, 0.500], [0.377, 0.377, 0.713], [0.623, 0.623, 0.287], [0.235, 0.736, 0.296], [0.249, 0.249, 0.504], [0.264, 0.765, 0.704], [0.305, 0.305, 0.923], [0.695, 0.695, 0.077], [0.736, 0.235, 0.296], [0.751, 0.751, 0.496], [0.765, 0.264, 0.704]],
  "spacegroup": "C2/m (12)",
  "final_energy_ev_per_atom": -4.229,
  "total_magnetization_mub_per_cell": 8.00
}



(3)
{
  "formula": "TlV2Co",
  "functional": "GGA-PBE",
  "state": "optimized geometry",
  "cell": [[-3.501, 3.501, 2.622], [3.501, -3.501, 2.622], [3.501, 3.501, -2.622]],
  "species": ["Tl", "Tl", "V", "V", "V", "V", "Co", "Co"],
  "fractional_positions": [[0.000, 0.000, 0.000], [0.750, 0.250, 0.500], [0.186, 0.125, 0.561], [0.375, 0.814, 0.939], [0.564, 0.625, 0.439], [0.875, 0.436, 0.061], [0.250, 0.750, 0.500], [0.500, 0.500, 0.000]],
  "spacegroup": "I-42d (122)",
  "delta_e_f_kj_per_mol_fu": 221,
  "total_magnetization_mub_per_cell": 0.00,
  "relative_energy_kj_per_mol_fu": 24.3
}



| no. | V (Å³ per cell) |
| --- | --- |
| 1 | 107.5 |
| 2 | 446.0 |
| 3 | 128.5 |